DFT (PBE) results for a relaxed Ce7Ge2P2 crystal.

POSCAR file:
```
Ce7Ge2P2
1.0
6.6451 -0.0021 -0.7152
0.0020 6.6044 0.0038
-1.1278 -0.0029 6.5876
Ce Ge P
7 2 2
Direct
0.0000 0.7079 0.5000
0.5000 0.7415 0.5000
0.0000 0.0000 0.0000
0.5000 0.7079 0.0000
0.5000 0.2585 0.5000
0.5000 0.2921 0.0000
0.0000 0.2921 0.5000
0.8383 0.5000 0.8383
0.1617 0.5000 0.1617
0.7267 0.0000 0.2733
0.2733 0.0000 0.7267
```

Summary:
Its final energy is -6.207 eV/atom. The crystal system is orthorhombic.

DFT (PBE) results for a relaxed Rb2NbAlPb crystal.

POSCAR file:
```
Rb2NbAlPb
1.0
7.0435 0.0000 0.0000
0.0000 7.0435 0.0000
0.0000 0.0000 5.3437
Al Rb Pb Nb
1 2 1 1
Direct
0.0000 0.0000 0.5000
0.5000 0.0000 0.0000
0.0000 0.5000 0.0000
0.0000 0.0000 0.0000
0.5000 0.5000 0.5000
```

Summary:
Its final energy is -2.575 eV/atom. The crystal system is tetragonal.

DFT (PBE) results for a relaxed CaH3Pt crystal.

POSCAR file:
```
CaH3Pt
1.0
3.7267 0.0000 0.0000
0.0000 3.7267 0.0000
0.0000 0.0000 4.3317
Pt Ca H
1 1 3
Direct
0.5000 0.5000 0.4915
0.0000 0.0000 0.1568
0.5000 0.0000 0.4692
0.0000 0.5000 0.4692
0.0000 0.0000 0.6769
```

Summary:
Its final energy is -3.695 eV/atom. The crystal system is tetragonal.

DFT (PBE) results for a relaxed GePbCl crystal.

POSCAR file:
```
GePbCl
1.0
-0.1700 2.6697 2.1348
-3.5268 -0.3337 -2.6070
-5.5894 -7.1323 8.4744
Pb Ge Cl
2 2 2
Direct
0.2742 0.5484 0.8527
0.2742 0.5484 0.1473
0.5692 0.1384 0.0000
0.3912 0.7824 0.5000
0.5789 0.1577 0.3557
0.5789 0.1577 0.6443
```

Summary:
The crystal system is orthorhombic. For the raw formation energy, the calculation gives -0.25 eV per atom.

| no. | V (Å³/cell) |
| --- | --- |
| 1 | 284 |
| 2 | 265 |
| 3 | 60 |
| 4 | 172 |